Entry 1:
First-principles (GGA-PBE) data for a relaxed BPOF2 crystal, as listed in Alexandria via LeMat-Bulk.

Unit cell a=4.540 b=4.540 c=2.582 alpha=90.00 beta=90.00 gamma=90.00
Fractional coordinates of all 5 atoms:
B 0.000 0.000 0.000
P 0.500 0.500 0.500
O 0.000 0.000 0.500
F 0.000 0.500 0.000
F 0.500 0.000 0.000

Formation energy without anion corrections, kJ/mol of formula units: -421
N(E_F), states/eV/cell: 0.9

***

Entry 2:
First-principles (GGA-PBE) data for a relaxed Ac6TlGe2Br3 crystal, as listed in Alexandria via LeMat-Bulk.

Unit cell a=10.330 b=10.330 c=9.246 alpha=100.16 beta=100.16 gamma=26.10
Fractional coordinates of all 12 atoms:
Ac 0.009 0.009 0.253
Ac 0.326 0.326 0.430
Ac 0.334 0.334 0.892
Ac 0.666 0.666 0.108
Ac 0.674 0.674 0.570
Ac 0.991 0.991 0.747
Tl 0.500 0.500 0.000
Ge 0.168 0.168 0.337
Ge 0.832 0.832 0.663
Br 0.166 0.166 0.834
Br 0.500 0.500 0.500
Br 0.834 0.834 0.166

Formation energy without anion corrections, kJ/mol of formula units: -1169
N(E_F), states/eV/cell: 6.4

***

Entry 3:
First-principles (GGA-PBE) data for a relaxed CaSiN crystal, as listed in Alexandria via LeMat-Bulk.

Unit cell a=3.629 b=4.925 c=6.013 alpha=75.57 beta=86.93 gamma=68.47
Fractional coordinates of all 6 atoms:
Ca 0.000 0.000 0.000
Ca 0.139 0.634 0.634
Si 0.444 0.138 0.420
Si 0.804 0.464 0.234
N 0.488 0.052 0.717
N 0.565 0.804 0.325

Formation energy without anion corrections, kJ/mol of formula units: -196
N(E_F), states/eV/cell: 0.0

***

Entry 4:
First-principles (GGA-PBE) data for a relaxed Nd2MgAl2Pt5 crystal, as listed in Alexandria via LeMat-Bulk.

Unit cell a=10.437 b=10.437 c=3.456 alpha=90.00 beta=90.00 gamma=90.00
Fractional coordinates of all 20 atoms:
Nd 0.177 0.323 0.000
Nd 0.323 0.823 0.000
Nd 0.677 0.177 0.000
Nd 0.823 0.677 0.000
Mg 0.000 0.000 0.000
Mg 0.500 0.500 0.000
Al 0.124 0.624 0.000
Al 0.376 0.124 0.000
Al 0.624 0.876 0.000
Al 0.876 0.376 0.000
Pt 0.000 0.500 0.500
Pt 0.059 0.793 0.500
Pt 0.207 0.059 0.500
Pt 0.293 0.559 0.500
Pt 0.441 0.293 0.500
Pt 0.500 0.000 0.500
Pt 0.559 0.707 0.500
Pt 0.707 0.441 0.500
Pt 0.793 0.941 0.500
Pt 0.941 0.207 0.500

Formation energy from the elements, eV per atom: -0.927
N(E_F), states/eV/cell: 10.8

***

Entry 5:
First-principles (GGA-PBE) data for a relaxed Ce2HoHg3 crystal, as listed in Alexandria via LeMat-Bulk.

Unit cell a=3.530 b=3.530 c=12.781 alpha=90.00 beta=90.00 gamma=90.00
Fractional coordinates of all 6 atoms:
Ce 0.000 0.000 0.173
Ce 0.000 0.000 0.827
Ho 0.000 0.000 0.500
Hg 0.500 0.500 0.000
Hg 0.500 0.500 0.346
Hg 0.500 0.500 0.654

Formation energy from the elements, eV per atom: -0.347
N(E_F), states/eV/cell: 16.7

***

Entry 6:
First-principles (GGA-PBE) data for a relaxed SmUSn6 crystal, as listed in Alexandria via LeMat-Bulk.

Unit cell a=4.682 b=4.682 c=9.403 alpha=90.00 beta=90.00 gamma=90.00
Fractional coordinates of all 8 atoms:
Sm 0.000 0.000 0.000
U 0.000 0.000 0.500
Sn 0.000 0.500 0.255
Sn 0.000 0.500 0.745
Sn 0.500 0.000 0.255
Sn 0.500 0.000 0.745
Sn 0.500 0.500 0.000
Sn 0.500 0.500 0.500

Formation energy from the elements, eV per atom: -0.302
N(E_F), states/eV/cell: 9.4

***

Entry 7:
First-principles (GGA-PBE) data for a relaxed Na2GaGeAu crystal, as listed in Alexandria via LeMat-Bulk.

Unit cell a=5.684 b=5.684 c=4.632 alpha=90.00 beta=90.00 gamma=90.00
Fractional coordinates of all 5 atoms:
Na 0.000 0.500 0.000
Na 0.500 0.000 0.000
Ga 0.000 0.000 0.500
Ge 0.000 0.000 0.000
Au 0.500 0.500 0.500

Formation energy from the elements, eV per atom: 0.221
N(E_F), states/eV/cell: 3.4

***

Entry 8:
First-principles (GGA-PBE) data for a relaxed TlTe2W crystal, as listed in Alexandria via LeMat-Bulk.

Unit cell a=3.178 b=3.178 c=35.259 alpha=90.00 beta=90.00 gamma=120.00
Fractional coordinates of all 12 atoms:
Tl 0.000 0.000 0.000
Tl 0.333 0.667 0.667
Tl 0.667 0.333 0.333
Te 0.000 0.000 0.423
Te 0.000 0.000 0.577
Te 0.333 0.667 0.090
Te 0.333 0.667 0.243
Te 0.667 0.333 0.757
Te 0.667 0.333 0.910
W 0.000 0.000 0.500
W 0.333 0.667 0.167
W 0.667 0.333 0.833

Formation energy without anion corrections, kJ/mol of formula units: 288
N(E_F), states/eV/cell: 10.7